No. 1
First-principles (PBE-GGA) data for a relaxed BeRu2Br crystal, as listed in Alexandria.

Lattice parameters (Å, degrees): 3.497 3.497 6.353 74.75 74.75 56.99
Each line ends with the local moment (μB).
Atoms (fractional coordinates):
Be (0.750, 0.750, 0.750)  -0.01
Ru (0.029, 0.029, 0.908)  0.34
Ru (0.471, 0.471, 0.592)  0.34
Br (0.250, 0.250, 0.250)  0.02

Results
Space group   C2/m
Density of states at the Fermi level   5.2 states/eV/f.u.
Formation energy without anion corrections   178 kJ/mol of formula units
Offset from the most stable computed form   141.0 meV/atom
Mass density   7773 kg/m³
Crystal system   monoclinic

No. 2
First-principles (PBE-GGA) data for a relaxed HfZrZn6 crystal, as listed in Alexandria.

Lattice parameters (Å, degrees): 4.374 5.846 5.846 119.08 90.00 90.00
Atoms (fractional coordinates):
Zn (0.000, 0.061, 0.398)
Zn (0.000, 0.588, 0.412)
Zn (0.500, 0.435, 0.100)
Zn (0.000, 0.602, 0.939)
Zn (0.500, 0.914, 0.086)
Zn (0.500, 0.900, 0.565)
Zr (0.500, 0.410, 0.590)
Hf (0.000, 0.090, 0.910)

Results
Space group   Amm2
Density of states at the Fermi level   3.4 states/eV/f.u.
E_form   -0.2364 eV/atom
Mass density   8415 kg/m³
Crystal system   orthorhombic

No. 3
First-principles (PBE-GGA) data for a relaxed SrBeAl2Os crystal, as listed in Alexandria.

Lattice parameters (Å, degrees): 4.762 4.762 4.585 90.00 90.00 90.00
Atoms (fractional coordinates):
Al (0.000, 0.500, 0.000)
Al (0.500, 0.000, 0.000)
Be (0.000, 0.000, 0.500)
Os (0.000, 0.000, 0.000)
Sr (0.500, 0.500, 0.500)

Results
Space group   P4/mmm
Density of states at the Fermi level   1.1 states/eV/f.u.
E_form   -0.1983 eV/atom
Mass density   5443 kg/m³
Crystal system   tetragonal

No. 4
First-principles (PBE-GGA) data for a relaxed ZnS2N2 crystal, as listed in Alexandria.

Lattice parameters (Å, degrees): 4.030 4.030 3.768 90.00 90.00 90.00
Each line ends with the local moment (μB).
Atoms (fractional coordinates):
Zn (0.500, 0.500, 0.500)  0.01
S (0.500, 0.000, 0.000)  0.07
S (0.000, 0.500, 0.000)  0.07
N (0.000, 0.000, 0.000)  0.08
N (0.000, 0.000, 0.500)  0.37

Results
Space group   P4/mmm
Density of states at the Fermi level   2.2 states/eV/f.u.
Formation energy without anion corrections   807 kJ/mol of formula units
Offset from the most stable computed form   525.8 meV/atom
Mass density   4276 kg/m³
Crystal system   tetragonal

No. 5
First-principles (PBE-GGA) data for a relaxed PaSi2MoRu5 crystal, as listed in Alexandria.

Lattice parameters (Å, degrees): 3.848 3.848 11.081 90.00 90.00 90.00
Atoms (fractional coordinates):
Si (0.000, 0.000, 0.711)
Si (0.000, 0.000, 0.289)
Ru (0.000, 0.000, 0.500)
Ru (0.000, 0.500, 0.157)
Ru (0.500, 0.000, 0.157)
Ru (0.500, 0.000, 0.843)
Ru (0.000, 0.500, 0.843)
Mo (0.000, 0.000, 0.000)
Pa (0.500, 0.500, 0.500)

Results
Space group   P4/mmm
Density of states at the Fermi level   9.6 states/eV/f.u.
Formation energy without anion corrections   184 kJ/mol of formula units
Mass density   8992 kg/m³
Crystal system   tetragonal

No. 6
First-principles (PBE-GGA) data for a relaxed ScBeAs2Br crystal, as listed in Alexandria.

Lattice parameters (Å, degrees): 5.199 5.199 5.125 90.00 90.00 90.00
Each line ends with the local moment (μB).
Atoms (fractional coordinates):
Br (0.000, 0.000, 0.500)  0.03
As (0.500, 0.000, 0.000)  0.05
As (0.000, 0.500, 0.000)  0.05
Be (0.500, 0.500, 0.500)  0.00
Sc (0.000, 0.000, 0.000)  0.00

Results
Space group   P4/mmm
Density of states at the Fermi level   5.7 states/eV/f.u.
Formation energy without anion corrections   221 kJ/mol of formula units
Offset from the most stable computed form   505.1 meV/atom
Mass density   3401 kg/m³
Crystal system   tetragonal

- Number 5 is which compound?
  PaSi2MoRu5